The following is a DFT calculation (PBE) of ErThFeRu after structural relaxation.

POSCAR file:
```
ErThFeRu
1.0
0.000 3.447 3.447
3.447 0.000 3.447
3.447 3.447 0.000
Er Th Fe Ru
1 1 1 1
Cartesian
0.000 0.000 0.000 Er
3.447 3.447 3.447 Th
5.170 5.170 5.170 Fe
1.723 1.723 1.723 Ru
```

Size of the total moment = 1.453 μB/f.u.
Formation enthalpy at 0 K = -0.17 eV per atom
Total energy = -7.60 eV per atom
Space group = F-43m, No. 216